1.
Computed, not measured: a relaxed ZnTcPtW2 crystal at the PBE level of DFT.

Geometry as POSCAR:
```
ZnTcPtW2
1.0
-2.748 -0.607 3.736
-1.779 -4.081 -1.972
3.377 -2.478 2.081
Zn W Pt Tc
1 2 1 1
Direct
0.500 0.500 0.500
0.000 0.000 0.500
0.500 0.000 0.000
0.000 0.500 0.000
0.000 0.000 0.000
```

- E_tot (eV/cell) = -34.8
- space group = P4/mmm (123)
- formation energy from the elements (eV per atom) = 1.756

=====

2.
Computed, not measured: a relaxed YTc2Pt crystal at the PBE level of DFT.

Geometry as POSCAR:
```
YTc2Pt
1.0
-1.085 -1.324 2.242
3.622 0.436 2.011
-1.898 5.371 2.254
Pt Tc Y
1 2 1
Direct
0.500 0.500 0.750
0.000 0.000 0.948
0.000 0.000 0.552
0.500 0.500 0.250
```

- E_tot (eV/cell) = -32.6
- relative energy among the computed polymorphs (meV/atom) = 333
- space group = Pmmm (47)
- formation energy from the elements (eV per atom) = 0.149

=====

3.
Computed, not measured: a relaxed YTc2Pt crystal at the PBE level of DFT.

Geometry as POSCAR:
```
YTc2Pt
1.0
-7.674 0.973 -0.690
-0.247 -5.690 -5.280
-4.352 -4.104 -1.086
Y Tc Pt
2 4 2
Direct
0.500 0.500 0.000
0.250 0.750 0.500
0.666 0.125 0.250
0.084 0.625 0.250
0.375 0.334 0.750
0.875 0.916 0.750
0.000 0.000 0.000
0.750 0.250 0.500
```

- E_tot (eV/cell) = -63.4
- relative energy among the computed polymorphs (meV/atom) = 568
- space group = I-42d (122)
- formation energy from the elements (eV per atom) = 0.385

=====

4.
Computed, not measured: a relaxed YTc2Pt crystal at the PBE level of DFT.

Geometry as POSCAR:
```
YTc2Pt
1.0
-2.793 -1.264 0.150
1.272 -2.753 0.473
-0.148 1.214 7.467
Pt Tc Y
1 2 1
Direct
0.500 0.500 0.774
0.000 0.000 0.025
0.500 0.500 0.204
0.000 0.000 0.497
```

- E_tot (eV/cell) = -34.0
- relative energy among the computed polymorphs (meV/atom) = 0
- space group = P4mm (99)
- formation energy from the elements (eV per atom) = -0.184